## Li2FeTeO6 (PBE with a Hubbard U)

Data for an optimized crystal structure of Li2FeTeO6.

Calculated total energy in eV per atom: -5.578

a b c (Å): 5.1371 5.1371 13.5769
angles (deg): 90.00 90.00 120.00
Space group R3 (No. 146, hexagonal axes)
Asymmetric unit:
Li1 0.0000 0.0000 0.0000
Li2 0.0000 0.0000 0.4924
Fe1 0.0000 0.0000 0.2098
Te1 0.0000 0.0000 0.7073
O1 0.0405 0.7000 0.7803
O2 0.0487 0.3539 0.2834